! UPdPb2 GGA-PBE relaxed; values from VASP
! Energy of formation from the pure elements ... 0.286 eV/atom
&SYSTEM
  ibrav = 0, nat = 4, ntyp = 3
/
ATOMIC_SPECIES
U 238.03 U.upf
Pd 106.42 Pd.upf
Pb 207.20 Pb.upf
CELL_PARAMETERS angstrom
3.256 0.000 0.000
1.628 2.820 0.000
1.628 0.940 10.928
ATOMIC_POSITIONS crystal
U 0.000 0.000 0.000
Pd 0.500 0.500 0.500
Pb 0.099 0.099 0.702
Pb 0.901 0.901 0.298

***

! UPd9Pb2 GGA-PBE relaxed; values from VASP
! Energy of formation from the pure elements ... -0.379 eV/atom
&SYSTEM
  ibrav = 0, nat = 12, ntyp = 3
/
ATOMIC_SPECIES
Pd 106.42 Pd.upf
Pb 207.20 Pb.upf
U 238.03 U.upf
CELL_PARAMETERS angstrom
4.115 0.000 0.000
0.000 4.115 0.000
0.000 0.000 12.396
ATOMIC_POSITIONS crystal
Pd 0.500 0.000 0.161
Pd 0.500 0.500 0.000
Pd 0.000 0.500 0.161
Pd 0.500 0.500 0.332
Pd 0.500 0.500 0.668
Pd 0.000 0.500 0.839
Pd 0.000 0.500 0.500
Pd 0.500 0.000 0.500
Pd 0.500 0.000 0.839
Pb 0.000 0.000 0.336
Pb 0.000 0.000 0.664
U 0.000 0.000 0.000

***

! UPdPb GGA-PBE relaxed; values from VASP
! Energy of formation from the pure elements ... 0.167 eV/atom
&SYSTEM
  ibrav = 0, nat = 12, ntyp = 3
/
ATOMIC_SPECIES
U 238.03 U.upf
Pb 207.20 Pb.upf
Pd 106.42 Pd.upf
CELL_PARAMETERS angstrom
6.271 0.168 0.000
0.061 6.273 0.000
-3.166 -3.220 7.553
ATOMIC_POSITIONS crystal
U 0.625 0.875 0.750
U 0.125 0.875 0.750
U 0.125 0.875 0.250
U 0.125 0.375 0.250
Pb 0.333 0.333 0.667
Pb 0.667 0.667 0.333
Pb 0.917 0.417 0.833
Pb 0.583 0.083 0.167
Pd 0.649 0.649 0.000
Pd 0.351 0.351 0.000
Pd 0.899 0.399 0.500
Pd 0.601 0.101 0.500

***

! UPd14Pb GGA-PBE relaxed; values from VASP
! Energy of formation from the pure elements ... -0.245 eV/atom
&SYSTEM
  ibrav = 0, nat = 16, ntyp = 3
/
ATOMIC_SPECIES
Pd 106.42 Pd.upf
Pb 207.20 Pb.upf
U 238.03 U.upf
CELL_PARAMETERS angstrom
5.810 -0.012 0.000
0.012 5.810 0.000
0.000 0.000 7.749
ATOMIC_POSITIONS crystal
Pd 0.130 0.620 0.249
Pd 0.875 0.375 0.500
Pd 0.375 0.875 0.500
Pd 0.620 0.130 0.249
Pd 0.375 0.375 0.000
Pd 0.875 0.375 0.000
Pd 0.375 0.875 0.000
Pd 0.130 0.130 0.249
Pd 0.875 0.875 0.000
Pd 0.620 0.620 0.249
Pd 0.130 0.130 0.751
Pd 0.620 0.130 0.751
Pd 0.620 0.620 0.751
Pd 0.130 0.620 0.751
Pb 0.875 0.875 0.500
U 0.375 0.375 0.500

***

! U2Pd9Pb GGA-PBE relaxed; values from VASP
! Energy of formation from the pure elements ... -0.449 eV/atom
&SYSTEM
  ibrav = 0, nat = 12, ntyp = 3
/
ATOMIC_SPECIES
Pd 106.42 Pd.upf
U 238.03 U.upf
Pb 207.20 Pb.upf
CELL_PARAMETERS angstrom
-2.880 2.880 -0.756
-0.800 -1.762 -3.663
-8.560 -7.164 5.314
ATOMIC_POSITIONS crystal
Pd 0.500 0.000 0.500
Pd 0.500 0.500 0.000
Pd 0.000 0.500 0.171
Pd 0.500 0.500 0.334
Pd 0.000 0.500 0.500
Pd 0.500 0.500 0.666
Pd 0.500 0.000 0.829
Pd 0.500 0.000 0.171
Pd 0.000 0.500 0.829
U 0.000 0.000 0.331
U 0.000 0.000 0.669
Pb 0.000 0.000 0.000

***

! UPd4Pb GGA-PBE relaxed; values from VASP
! Energy of formation from the pure elements ... -0.298 eV/atom
&SYSTEM
  ibrav = 0, nat = 6, ntyp = 3
/
ATOMIC_SPECIES
U 238.03 U.upf
Pd 106.42 Pd.upf
Pb 207.20 Pb.upf
CELL_PARAMETERS angstrom
5.427 0.000 0.000
2.713 4.700 0.000
2.713 1.567 4.431
ATOMIC_POSITIONS crystal
U 0.250 0.250 0.250
Pd 0.625 0.125 0.625
Pd 0.625 0.625 0.625
Pd 0.125 0.625 0.625
Pd 0.625 0.625 0.125
Pb 0.000 0.000 0.000

***

! UPd12Pb3 GGA-PBE relaxed; values from VASP
! Energy of formation from the pure elements ... -0.360 eV/atom
&SYSTEM
  ibrav = 0, nat = 16, ntyp = 3
/
ATOMIC_SPECIES
Pd 106.42 Pd.upf
Pb 207.20 Pb.upf
U 238.03 U.upf
CELL_PARAMETERS angstrom
4.114 0.000 0.000
0.000 4.114 0.000
0.000 0.000 16.498
ATOMIC_POSITIONS crystal
Pd 0.000 0.500 0.376
Pd 0.500 0.000 0.879
Pd 0.500 0.500 0.000
Pd 0.500 0.500 0.500
Pd 0.500 0.000 0.376
Pd 0.000 0.500 0.879
Pd 0.500 0.500 0.249
Pd 0.500 0.000 0.624
Pd 0.500 0.500 0.751
Pd 0.000 0.500 0.121
Pd 0.000 0.500 0.624
Pd 0.500 0.000 0.121
Pb 0.000 0.000 0.253
Pb 0.000 0.000 0.747
Pb 0.000 0.000 0.500
U 0.000 0.000 0.000

***

! UPd2Pb GGA-PBE relaxed; values from VASP
! Energy of formation from the pure elements ... -0.232 eV/atom
&SYSTEM
  ibrav = 0, nat = 4, ntyp = 3
/
ATOMIC_SPECIES
Pb 207.20 Pb.upf
Pd 106.42 Pd.upf
U 238.03 U.upf
CELL_PARAMETERS angstrom
-3.619 1.024 -3.133
0.558 -0.933 -4.773
-2.524 -3.633 -2.095
ATOMIC_POSITIONS crystal
Pb 0.000 0.000 0.000
Pd 0.750 0.750 0.750
Pd 0.250 0.250 0.250
U 0.500 0.500 0.500

***

! V2PdPb GGA-PBE relaxed; values from VASP
! Energy of formation from the pure elements ... 0.563 eV/atom
&SYSTEM
  ibrav = 0, nat = 8, ntyp = 3
/
ATOMIC_SPECIES
Pd 106.42 Pd.upf
V 50.94 V.upf
Pb 207.20 Pb.upf
CELL_PARAMETERS angstrom
-4.626 -5.455 1.331
1.834 -3.098 -6.321
0.600 -5.662 -1.237
ATOMIC_POSITIONS crystal
Pd 0.250 0.750 0.500
Pd 0.500 0.500 0.000
V 0.375 0.401 0.750
V 0.599 0.125 0.250
V 0.875 0.849 0.750
V 0.151 0.625 0.250
Pb 0.000 0.000 0.000
Pb 0.750 0.250 0.500

***

! VPd9Pb2 GGA-PBE relaxed; values from VASP
! Energy of formation from the pure elements ... -0.261 eV/atom
&SYSTEM
  ibrav = 0, nat = 12, ntyp = 3
/
ATOMIC_SPECIES
Pd 106.42 Pd.upf
Pb 207.20 Pb.upf
V 50.94 V.upf
CELL_PARAMETERS angstrom
-3.522 1.506 -1.281
0.116 -2.454 -3.206
-5.924 -8.503 6.294
ATOMIC_POSITIONS crystal
Pd 0.500 0.500 0.000
Pd 0.500 0.500 0.673
Pd 0.000 0.500 0.500
Pd 0.500 0.000 0.500
Pd 0.500 0.000 0.848
Pd 0.000 0.500 0.152
Pd 0.500 0.500 0.327
Pd 0.000 0.500 0.848
Pd 0.500 0.000 0.152
Pb 0.000 0.000 0.328
Pb 0.000 0.000 0.672
V 0.000 0.000 0.000

***

! V2Pd9Pb GGA-PBE relaxed; values from VASP
! Energy of formation from the pure elements ... -0.237 eV/atom
&SYSTEM
  ibrav = 0, nat = 12, ntyp = 3
/
ATOMIC_SPECIES
Pd 106.42 Pd.upf
V 50.94 V.upf
Pb 207.20 Pb.upf
CELL_PARAMETERS angstrom
3.964 0.000 0.000
0.000 3.964 0.000
0.000 0.000 11.959
ATOMIC_POSITIONS crystal
Pd 0.000 0.500 0.500
Pd 0.500 0.500 0.340
Pd 0.500 0.500 0.660
Pd 0.000 0.500 0.818
Pd 0.500 0.500 0.000
Pd 0.500 0.000 0.500
Pd 0.500 0.000 0.818
Pd 0.500 0.000 0.182
Pd 0.000 0.500 0.182
V 0.000 0.000 0.663
V 0.000 0.000 0.337
Pb 0.000 0.000 0.000

***

! VPd15Pb4 GGA-PBE relaxed; values from VASP
! Energy of formation from the pure elements ... -0.271 eV/atom
&SYSTEM
  ibrav = 0, nat = 20, ntyp = 3
/
ATOMIC_SPECIES
Pb 207.20 Pb.upf
Pd 106.42 Pd.upf
V 50.94 V.upf
CELL_PARAMETERS angstrom
4.062 0.000 0.000
0.000 4.062 0.000
0.000 0.000 20.388
ATOMIC_POSITIONS crystal
Pb 0.000 0.000 0.194
Pb 0.000 0.000 0.602
Pb 0.000 0.000 0.398
Pb 0.000 0.000 0.806
Pd 0.000 0.500 0.296
Pd 0.500 0.000 0.910
Pd 0.000 0.500 0.500
Pd 0.500 0.000 0.500
Pd 0.500 0.000 0.090
Pd 0.500 0.500 0.807
Pd 0.500 0.500 0.603
Pd 0.000 0.500 0.910
Pd 0.000 0.500 0.704
Pd 0.500 0.500 0.397
Pd 0.500 0.500 0.000
Pd 0.500 0.500 0.193
Pd 0.500 0.000 0.296
Pd 0.000 0.500 0.090
Pd 0.500 0.000 0.704
V 0.000 0.000 0.000

***

Copy entry 5 word for word.
! U2Pd9Pb GGA-PBE relaxed; values from VASP
! Energy of formation from the pure elements ... -0.449 eV/atom
&SYSTEM
  ibrav = 0, nat = 12, ntyp = 3
/
ATOMIC_SPECIES
Pd 106.42 Pd.upf
U 238.03 U.upf
Pb 207.20 Pb.upf
CELL_PARAMETERS angstrom
-2.880 2.880 -0.756
-0.800 -1.762 -3.663
-8.560 -7.164 5.314
ATOMIC_POSITIONS crystal
Pd 0.500 0.000 0.500
Pd 0.500 0.500 0.000
Pd 0.000 0.500 0.171
Pd 0.500 0.500 0.334
Pd 0.000 0.500 0.500
Pd 0.500 0.500 0.666
Pd 0.500 0.000 0.829
Pd 0.500 0.000 0.171
Pd 0.000 0.500 0.829
U 0.000 0.000 0.331
U 0.000 0.000 0.669
Pb 0.000 0.000 0.000

***

What did the sixth record say?
! UPd4Pb GGA-PBE relaxed; values from VASP
! Energy of formation from the pure elements ... -0.298 eV/atom
&SYSTEM
  ibrav = 0, nat = 6, ntyp = 3
/
ATOMIC_SPECIES
U 238.03 U.upf
Pd 106.42 Pd.upf
Pb 207.20 Pb.upf
CELL_PARAMETERS angstrom
5.427 0.000 0.000
2.713 4.700 0.000
2.713 1.567 4.431
ATOMIC_POSITIONS crystal
U 0.250 0.250 0.250
Pd 0.625 0.125 0.625
Pd 0.625 0.625 0.625
Pd 0.125 0.625 0.625
Pd 0.625 0.625 0.125
Pb 0.000 0.000 0.000

***

Please write out number 6 again, unchanged.
! UPd4Pb GGA-PBE relaxed; values from VASP
! Energy of formation from the pure elements ... -0.298 eV/atom
&SYSTEM
  ibrav = 0, nat = 6, ntyp = 3
/
ATOMIC_SPECIES
U 238.03 U.upf
Pd 106.42 Pd.upf
Pb 207.20 Pb.upf
CELL_PARAMETERS angstrom
5.427 0.000 0.000
2.713 4.700 0.000
2.713 1.567 4.431
ATOMIC_POSITIONS crystal
U 0.250 0.250 0.250
Pd 0.625 0.125 0.625
Pd 0.625 0.625 0.625
Pd 0.125 0.625 0.625
Pd 0.625 0.625 0.125
Pb 0.000 0.000 0.000

***

Question: Which value of energy of formation from the pure elements does entry 10 give?
Answer: -0.261 eV/atom